{"formula": "Cs2AlWF6", "functional": "PBE with a Hubbard U", "state": "optimized geometry", "lattice": [[-3.2391, 3.2391, 4.8654], [3.2391, -3.2391, 4.8654], [3.2391, 3.2391, -4.8654]], "species": ["Cs", "Cs", "Al", "W", "F", "F", "F", "F", "F", "F"], "fractional_positions": [[0.2500, 0.7500, 0.5000], [0.7500, 0.2500, 0.5000], [0.0000, 0.0000, 0.0000], [0.5000, 0.5000, 0.0000], [0.2671, 0.2671, 0.5341], [0.2671, 0.7329, 0.0000], [0.2817, 0.2817, 0.0000], [0.7183, 0.7183, 0.0000], [0.7329, 0.2671, 0.0000], [0.7329, 0.7329, 0.4659]], "total_energy_ev_per_atom": -4.830}